DFT (PBE) results for crystalline TiZn2Ge at its relaxed geometry.

Values from the calculation:
formation energy from the elements: -0.2854 eV per atom
volume: 15.10 Å³/atom

Lattice parameters (Å, degrees): 4.0815 3.8464 3.8464 90.00 90.00 90.00
Sites, in units of the cell vectors:
Ge1 0.5000 0.0000 0.0000
Zn1 0.0000 0.0000 0.5000
Zn2 0.0000 0.5000 0.0000
Ti1 0.5000 0.5000 0.5000